A plane-wave DFT calculation with PBE-GGA was carried out for crystalline Mg at its relaxed geometry.

a = 4.3923 Å, b = 4.3923 Å, c = 4.3923 Å
α = 96.82°, β = 96.82°, γ = 139.69°
Element x y z (fractional)
Mg 0.1250 0.8750 0.7500
Mg 0.8750 0.1250 0.2500

Properties
mass density = 1.568 g cm⁻³
ΔH_f (0 K) = 0.266 eV/atom